1.
First-principles (PBE) data for a relaxed structure of AgP4Pt, as listed in the Alexandria database.

Lattice parameters (Å, degrees): 7.375 7.375 7.375 90.00 90.00 90.00
Space group F-43m (No. 216)
Symmetry-distinct sites (fractional):
Ag 0.000 0.000 0.000 [4 per cell]
P 0.139 0.139 0.361 [16 per cell]
Pt 0.250 0.250 0.750 [4 per cell]

Energy of formation from the pure elements ... 0.65 eV per atom
Magnetization ... 0.0 μB per formula unit

=====

2.
First-principles (PBE) data for a relaxed structure of AlTl2GaO4, as listed in the Alexandria database.

Lattice parameters (Å, degrees): 5.092 12.638 19.399 90.00 90.00 90.00
Space group Fddd (No. 70, origin choice 2)
Symmetry-distinct sites (fractional):
Al 0.125 0.125 0.125 [8 per cell]
Tl 0.125 0.125 0.293 [16 per cell]
Ga 0.125 0.125 0.625 [8 per cell]
O 0.109 0.304 0.426 [32 per cell]

Magnetization ... 0.0 μB per formula unit
Formation energy from raw total energies ... -1581 meV/atom

=====

3.
First-principles (PBE) data for a relaxed structure of BaGa12Pd4, as listed in the Alexandria database.

Lattice parameters (Å, degrees): 8.944 8.944 8.944 90.00 90.00 90.00
Space group Im-3 (No. 204)
Symmetry-distinct sites (fractional):
Ba 0.000 0.000 0.000 [2 per cell]
Ga 0.000 0.159 0.352 [24 per cell]
Pd 0.250 0.250 0.250 [8 per cell]

Energy of formation from the pure elements ... -0.26 eV per atom
Magnetization ... 0.0 μB per formula unit